{
  "formula": "TaCo3",
  "functional": "PBE",
  "state": "optimized geometry",
  "lattice_angstrom": [[3.092, 0.000, 0.000], [0.000, 3.092, 0.000], [0.000, 0.000, 5.248]],
  "species": ["Co", "Co", "Co", "Ta"],
  "fractional_positions": [[0.000, 0.000, 0.015], [0.500, 0.500, 0.250], [0.000, 0.000, 0.485], [0.500, 0.500, 0.750]],
  "space_group": "P4/mmm",
  "e_form_ev_per_atom": -0.03,
  "energy_ev_per_atom": -8.32
}